A geometry-optimized HoAg2TeO4 structure. Source: Alexandria, functional PBE-GGA.

Properties
Total magnetization in μB/atom: 0.000
DOS(E_F) in states/eV/cell: 1.85
Formation energy from raw total energies in eV/atom: -1.278
SG: C2/c, No. 15

abc: 6.963 6.963 7.141
angles: 117.99 117.99 71.87
Fractional positions:
Ho: 0.000 0.000 0.000
Ho: 0.000 0.000 0.500
Ag: 0.000 0.500 0.000
Ag: 0.500 0.000 0.500
Ag: 0.500 0.500 0.000
Ag: 0.500 0.500 0.500
Te: 0.000 0.500 0.500
Te: 0.500 0.000 0.000
O: 0.154 0.161 0.392
O: 0.161 0.154 0.892
O: 0.182 0.655 0.445
O: 0.345 0.818 0.055
O: 0.655 0.182 0.945
O: 0.818 0.345 0.555
O: 0.839 0.846 0.108
O: 0.846 0.839 0.608